Record 1
SmDySe2Br2: optimized geometry, GGA-PBE.

Calculated values
The space-group type is No. 25. The calculation puts the mass density at 5.1 g cm⁻³. For the total energy, the calculation gives -5.158 eV/atom.

a = 4.1732 Å, b = 5.6497 Å, c = 8.7365 Å
α = 90.00°, β = 90.00°, γ = 90.00°
Closest atoms and distances in Å follow each position.
Element x y z (fractional)
Sm 0.0000 0.0000 0.0000  4 Se 2.85-2.93, 2 Br 2.86
Dy 0.5000 0.5000 0.7280  2 Br 2.82, 4 Se 2.84-2.88
Se 0.0000 0.5000 0.9543  2 Sm 2.85, 2 Dy 2.88
Se 0.5000 0.0000 0.7644  2 Dy 2.84, 2 Sm 2.93
Br 0.0000 0.5000 0.5111  2 Dy 2.82
Br 0.5000 0.0000 0.2247  2 Sm 2.86

=====

Record 2
TbDySe2Br2: optimized geometry, GGA-PBE.

Calculated values
The space-group type is No. 25. The calculation puts the mass density at 5.3 g cm⁻³. For the total energy, the calculation gives -5.151 eV/atom.

a = 4.1242 Å, b = 5.6360 Å, c = 8.5518 Å
α = 90.00°, β = 90.00°, γ = 90.00°
Closest atoms and distances in Å follow each position.
Element x y z (fractional)
Tb 0.0000 0.0000 0.0000  2 Br 2.83, 4 Se 2.84-2.88
Dy 0.5000 0.5000 0.2746  2 Br 2.82, 4 Se 2.84-2.87
Se 0.0000 0.5000 0.0415  2 Tb 2.84, 2 Dy 2.87
Se 0.5000 0.0000 0.2356  2 Dy 2.84, 2 Tb 2.88
Br 0.0000 0.5000 0.4992  2 Dy 2.82
Br 0.5000 0.0000 0.7731  2 Tb 2.83

=====

Record 3
Dy4SiBr5: optimized geometry, GGA-PBE.

Calculated values
The space-group type is No. 12. The calculation puts the mass density at 6.0 g cm⁻³. For the total energy, the calculation gives -4.673 eV/atom.

a = 9.2883 Å, b = 9.2883 Å, c = 8.3676 Å
α = 102.57°, β = 102.57°, γ = 25.08°
Closest atoms and distances in Å follow each position.
Element x y z (fractional)
Dy 0.0007 0.0007 0.2215  2 Si 2.74, 2 Br 2.95-3.06
Dy 0.3495 0.3495 0.9211  1 Si 2.66, 4 Br 2.88-2.93
Dy 0.6505 0.6505 0.0789  1 Si 2.66, 4 Br 2.88-2.93
Dy 0.9993 0.9993 0.7785  2 Si 2.74, 2 Br 2.95-3.06
Si 0.5000 0.5000 0.0000  6 Dy 2.66-2.74
Br 0.1670 0.1670 0.3299  3 Dy 2.88-2.95
Br 0.1722 0.1722 0.8389  4 Dy 2.93-3.13
Br 0.5000 0.5000 0.5000  4 Dy 3.08
Br 0.8278 0.8278 0.1611  4 Dy 2.93-3.13
Br 0.8330 0.8330 0.6701  3 Dy 2.88-2.95

=====

Record 4
SmDyBr3: optimized geometry, GGA-PBE.

Calculated values
The space-group type is No. 65. The calculation puts the mass density at 5.6 g cm⁻³. For the total energy, the calculation gives -4.050 eV/atom.

a = 16.0374 Å, b = 16.0374 Å, c = 3.6605 Å
α = 90.00°, β = 90.00°, γ = 159.76°
Closest atoms and distances in Å follow each position.
Element x y z (fractional)
Sm 0.1262 0.8738 0.0000  5 Br 2.82-2.91
Sm 0.8738 0.1262 0.0000  5 Br 2.82-2.91
Dy 0.2936 0.7064 0.5000  4 Br 2.99-3.00
Dy 0.7064 0.2936 0.5000  4 Br 2.99-3.00
Br 0.0570 0.9430 0.5000  2 Sm 2.85
Br 0.2184 0.7816 0.0000  1 Sm 2.91, 2 Dy 3.00
Br 0.3686 0.6314 0.0000  2 Sm 2.82, 2 Dy 2.99
Br 0.6314 0.3686 0.0000  2 Sm 2.82, 2 Dy 2.99
Br 0.7816 0.2184 0.0000  1 Sm 2.91, 2 Dy 3.00
Br 0.9430 0.0570 0.5000  2 Sm 2.85

=====

Record 5
SmDyTe2Br2: optimized geometry, GGA-PBE.

Calculated values
The space-group type is No. 25. The calculation puts the mass density at 5.3 g cm⁻³. For the total energy, the calculation gives -4.768 eV/atom.

a = 4.2789 Å, b = 6.1572 Å, c = 8.6704 Å
α = 90.00°, β = 90.00°, γ = 90.00°
Closest atoms and distances in Å follow each position.
Element x y z (fractional)
Sm 0.0000 0.0000 0.0000  2 Br 2.88, 4 Te 3.08-3.15
Dy 0.5000 0.5000 0.7194  2 Br 2.83, 4 Te 3.08-3.10
Te 0.0000 0.5000 0.9784  2 Sm 3.08, 2 Dy 3.10
Te 0.5000 0.0000 0.7327  2 Dy 3.08, 2 Sm 3.15
Br 0.0000 0.5000 0.5059  2 Dy 2.83
Br 0.5000 0.0000 0.2222  2 Sm 2.88

=====

Record 6
DyTl3Br6: optimized geometry, GGA-PBE.

Calculated values
The space-group type is No. 14. The calculation puts the mass density at 5.6 g cm⁻³. For the total energy, the calculation gives -3.458 eV/atom.

a = 7.7288 Å, b = 8.5480 Å, c = 13.2625 Å
α = 90.00°, β = 122.14°, γ = 90.00°
Closest atoms and distances in Å follow each position.
Element x y z (fractional)
Dy 0.0000 0.0000 0.0000  6 Br 2.80-2.82
Dy 0.0000 0.5000 0.5000  6 Br 2.80-2.82
Tl 0.2980 0.0789 0.7675  6 Br 3.28-3.59
Tl 0.2980 0.4211 0.2675  6 Br 3.28-3.59
Tl 0.5000 0.0000 0.5000  6 Br 3.25-3.34
Tl 0.5000 0.5000 0.0000  6 Br 3.25-3.34
Tl 0.7020 0.5789 0.7325  6 Br 3.28-3.59
Tl 0.7020 0.9211 0.2325  6 Br 3.28-3.59
Br 0.0958 0.0618 0.2318  1 Dy 2.80
Br 0.0958 0.4382 0.7318  1 Dy 2.80
Br 0.2378 0.7254 0.0789  1 Dy 2.82
Br 0.2378 0.7746 0.5789  1 Dy 2.82
Br 0.3459 0.1686 0.0458  1 Dy 2.80
Br 0.3459 0.3314 0.5458  1 Dy 2.80
Br 0.6541 0.6686 0.4542  1 Dy 2.80
Br 0.6541 0.8314 0.9542  1 Dy 2.80
Br 0.7622 0.2254 0.4211  1 Dy 2.82
Br 0.7622 0.2746 0.9211  1 Dy 2.82
Br 0.9042 0.5618 0.2682  1 Dy 2.80
Br 0.9042 0.9382 0.7682  1 Dy 2.80

=====

Record 7
DyYBr6: optimized geometry, GGA-PBE.

Calculated values
The space-group type is No. 5. The calculation puts the mass density at 4.3 g cm⁻³. For the total energy, the calculation gives -4.515 eV/atom.

a = 7.1049 Å, b = 12.3567 Å, c = 6.9549 Å
α = 90.00°, β = 110.82°, γ = 90.00°
Closest atoms and distances in Å follow each position.
Element x y z (fractional)
Dy 0.0000 0.0000 0.0000  6 Br 2.80-2.81
Dy 0.5000 0.5000 0.0000  6 Br 2.80-2.81
Y 0.0000 0.6680 0.0000  6 Br 2.80-2.81
Y 0.5000 0.1680 0.0000  6 Br 2.80-2.81
Br 0.2339 0.8343 0.2461  1 Dy 2.80, 1 Y 2.81
Br 0.2393 0.0110 0.7547  1 Y 2.80, 1 Dy 2.81
Br 0.2401 0.6568 0.7547  1 Dy 2.80, 1 Y 2.81
Br 0.2599 0.1568 0.2453  1 Dy 2.80, 1 Y 2.81
Br 0.2607 0.5110 0.2453  1 Y 2.80, 1 Dy 2.81
Br 0.2661 0.3343 0.7539  1 Dy 2.80, 1 Y 2.81
Br 0.7339 0.3343 0.2461  1 Dy 2.80, 1 Y 2.81
Br 0.7393 0.5110 0.7547  1 Y 2.80, 1 Dy 2.81
Br 0.7401 0.1568 0.7547  1 Dy 2.80, 1 Y 2.81
Br 0.7599 0.6568 0.2453  1 Dy 2.80, 1 Y 2.81
Br 0.7607 0.0110 0.2453  1 Y 2.80, 1 Dy 2.81
Br 0.7661 0.8343 0.7539  1 Dy 2.80, 1 Y 2.81

=====

Record 8
ErBr: optimized geometry, GGA-PBE.

Calculated values
The space-group type is No. 216. The calculation puts the mass density at 6.2 g cm⁻³. For the total energy, the calculation gives -3.519 eV/atom.

a = 6.4129 Å, b = 6.4129 Å, c = 6.4129 Å
α = 90.00°, β = 90.00°, γ = 90.00°
Closest atoms and distances in Å follow each position.
Element x y z (fractional)
Er 0.0000 0.0000 0.0000  4 Br 2.78
Er 0.0000 0.5000 0.5000  4 Br 2.78
Er 0.5000 0.0000 0.5000  4 Br 2.78
Er 0.5000 0.5000 0.0000  4 Br 2.78
Br 0.2500 0.2500 0.2500  4 Er 2.78
Br 0.2500 0.7500 0.7500  4 Er 2.78
Br 0.7500 0.2500 0.7500  4 Er 2.78
Br 0.7500 0.7500 0.2500  4 Er 2.78

=====

Record 9
ErBr3: optimized geometry, GGA-PBE.

Calculated values
The space-group type is No. 167. The calculation puts the mass density at 5.3 g cm⁻³. For the total energy, the calculation gives -4.195 eV/atom.

a = 7.4289 Å, b = 7.4289 Å, c = 7.4289 Å
α = 54.54°, β = 54.54°, γ = 54.54°
Closest atoms and distances in Å follow each position.
Element x y z (fractional)
Er 0.0000 0.0000 0.0000  6 Br 2.78
Er 0.5000 0.5000 0.5000  6 Br 2.78
Br 0.0767 0.7500 0.4233  2 Er 2.78
Br 0.2500 0.5767 0.9233  2 Er 2.78
Br 0.4233 0.0767 0.7500  2 Er 2.78
Br 0.5767 0.9233 0.2500  2 Er 2.78
Br 0.7500 0.4233 0.0767  2 Er 2.78
Br 0.9233 0.2500 0.5767  2 Er 2.78

=====

Record 10
Er3Br2: optimized geometry, GGA-PBE.

Calculated values
The space-group type is No. 167. The calculation puts the mass density at 8.2 g cm⁻³. For the total energy, the calculation gives -3.944 eV/atom.

a = 7.5145 Å, b = 7.5145 Å, c = 7.5145 Å
α = 55.58°, β = 55.58°, γ = 55.58°
Closest atoms and distances in Å follow each position.
Element x y z (fractional)
Er 0.0988 0.7500 0.4012  4 Br 2.78-2.91
Er 0.2500 0.5988 0.9012  4 Br 2.78-2.91
Er 0.4012 0.0988 0.7500  4 Br 2.78-2.91
Er 0.5988 0.9012 0.2500  4 Br 2.78-2.91
Er 0.7500 0.4012 0.0988  4 Br 2.78-2.91
Er 0.9012 0.2500 0.5988  4 Br 2.78-2.91
Br 0.1667 0.1667 0.1667  6 Er 2.78-2.91
Br 0.3333 0.3333 0.3333  6 Er 2.78-2.91
Br 0.6667 0.6667 0.6667  6 Er 2.78-2.91
Br 0.8333 0.8333 0.8333  6 Er 2.78-2.91

=====

Record 11
ErBr3: optimized geometry, GGA-PBE.

Calculated values
The space-group type is No. 136. The calculation puts the mass density at 5.1 g cm⁻³. For the total energy, the calculation gives -4.221 eV/atom.

a = 6.6342 Å, b = 6.6342 Å, c = 12.0961 Å
α = 90.00°, β = 90.00°, γ = 90.00°
Closest atoms and distances in Å follow each position.
Element x y z (fractional)
Er 0.0000 0.0000 0.1700  6 Br 2.77-2.79
Er 0.0000 0.0000 0.8300  6 Br 2.77-2.79
Er 0.5000 0.5000 0.3300  6 Br 2.77-2.79
Er 0.5000 0.5000 0.6700  6 Br 2.77-2.79
Br 0.1989 0.1989 0.0000  2 Er 2.78
Br 0.2032 0.2032 0.3361  2 Er 2.77-2.79
Br 0.2032 0.2032 0.6639  2 Er 2.77-2.79
Br 0.2968 0.7032 0.1639  2 Er 2.77-2.79
Br 0.2968 0.7032 0.8361  2 Er 2.77-2.79
Br 0.3011 0.6989 0.5000  2 Er 2.78
Br 0.6989 0.3011 0.5000  2 Er 2.78
Br 0.7032 0.2968 0.1639  2 Er 2.77-2.79
Br 0.7032 0.2968 0.8361  2 Er 2.77-2.79
Br 0.7968 0.7968 0.3361  2 Er 2.77-2.79
Br 0.7968 0.7968 0.6639  2 Er 2.77-2.79
Br 0.8011 0.8011 0.0000  2 Er 2.78

=====

Record 12
ErBr: optimized geometry, GGA-PBE.

Calculated values
The space-group type is No. 225. The calculation puts the mass density at 8.4 g cm⁻³. For the total energy, the calculation gives -3.701 eV/atom.

a = 5.7991 Å, b = 5.7991 Å, c = 5.7991 Å
α = 90.00°, β = 90.00°, γ = 90.00°
Closest atoms and distances in Å follow each position.
Element x y z (fractional)
Er 0.0000 0.0000 0.0000  6 Br 2.90
Er 0.0000 0.5000 0.5000  6 Br 2.90
Er 0.5000 0.0000 0.5000  6 Br 2.90
Er 0.5000 0.5000 0.0000  6 Br 2.90
Br 0.0000 0.0000 0.5000  6 Er 2.90
Br 0.0000 0.5000 0.0000  6 Er 2.90
Br 0.5000 0.0000 0.0000  6 Er 2.90
Br 0.5000 0.5000 0.5000  6 Er 2.90

=====

Copy entry 6 word for word.
DyTl3Br6: optimized geometry, GGA-PBE.

Calculated values
The space-group type is No. 14. The calculation puts the mass density at 5.6 g cm⁻³. For the total energy, the calculation gives -3.458 eV/atom.

a = 7.7288 Å, b = 8.5480 Å, c = 13.2625 Å
α = 90.00°, β = 122.14°, γ = 90.00°
Closest atoms and distances in Å follow each position.
Element x y z (fractional)
Dy 0.0000 0.0000 0.0000  6 Br 2.80-2.82
Dy 0.0000 0.5000 0.5000  6 Br 2.80-2.82
Tl 0.2980 0.0789 0.7675  6 Br 3.28-3.59
Tl 0.2980 0.4211 0.2675  6 Br 3.28-3.59
Tl 0.5000 0.0000 0.5000  6 Br 3.25-3.34
Tl 0.5000 0.5000 0.0000  6 Br 3.25-3.34
Tl 0.7020 0.5789 0.7325  6 Br 3.28-3.59
Tl 0.7020 0.9211 0.2325  6 Br 3.28-3.59
Br 0.0958 0.0618 0.2318  1 Dy 2.80
Br 0.0958 0.4382 0.7318  1 Dy 2.80
Br 0.2378 0.7254 0.0789  1 Dy 2.82
Br 0.2378 0.7746 0.5789  1 Dy 2.82
Br 0.3459 0.1686 0.0458  1 Dy 2.80
Br 0.3459 0.3314 0.5458  1 Dy 2.80
Br 0.6541 0.6686 0.4542  1 Dy 2.80
Br 0.6541 0.8314 0.9542  1 Dy 2.80
Br 0.7622 0.2254 0.4211  1 Dy 2.82
Br 0.7622 0.2746 0.9211  1 Dy 2.82
Br 0.9042 0.5618 0.2682  1 Dy 2.80
Br 0.9042 0.9382 0.7682  1 Dy 2.80

=====

The lowest mass density belongs to which entry?
DyYBr6